Record 1
This record from Alexandria via LeMat-Bulk describes a relaxed structure of TiRu2O2. The functional is PBE.

```
data_TiRu2O2
_symmetry_space_group_name_H-M 'P 1'
_symmetry_Int_Tables_number 1
_cell_length_a 3.835
_cell_length_b 3.835
_cell_length_c 5.062
_cell_angle_alpha 67.74
_cell_angle_beta 67.74
_cell_angle_gamma 90.00
loop_
_symmetry_equiv_pos_as_xyz
'x,y,z'
loop_
_atom_site_label
_atom_site_type_symbol
_atom_site_fract_x
_atom_site_fract_y
_atom_site_fract_z
O1 O 0.636 0.636 0.727
Ti1 Ti 0.000 0.000 0.000
Ru1 Ru 0.250 0.750 0.500
Ru2 Ru 0.750 0.250 0.500
O2 O 0.364 0.364 0.273
```

Results
The symmetry is No. 139. For the uncorrected energy, the calculation gives -7.1799 eV/atom. The calculated density is 7.4 g cm⁻³. The uncorrected formation energy comes out at 0.09 eV/atom.



Record 2
This record from Alexandria via LeMat-Bulk describes a relaxed structure of BaZn2Te. The functional is PBE.

```
data_BaZn2Te
_symmetry_space_group_name_H-M 'P 1'
_symmetry_Int_Tables_number 1
_cell_length_a 8.741
_cell_length_b 8.741
_cell_length_c 7.034
_cell_angle_alpha 51.59
_cell_angle_beta 51.59
_cell_angle_gamma 90.00
loop_
_symmetry_equiv_pos_as_xyz
'x,y,z'
loop_
_atom_site_label
_atom_site_type_symbol
_atom_site_fract_x
_atom_site_fract_y
_atom_site_fract_z
Te1 Te 0.250 0.750 0.500
Zn1 Zn 0.583 0.125 0.250
Zn2 Zn 0.167 0.625 0.250
Te2 Te 0.500 0.500 0.000
Zn3 Zn 0.875 0.833 0.750
Ba1 Ba 0.750 0.250 0.500
Zn4 Zn 0.375 0.417 0.750
Ba2 Ba 0.000 0.000 0.000
```

Results
The symmetry is No. 122. For the uncorrected energy, the calculation gives -2.2599 eV/atom. The calculated density is 5.1 g cm⁻³. The uncorrected formation energy comes out at -0.36 eV/atom.



Record 3
This record from Alexandria via LeMat-Bulk describes a relaxed structure of CaTlB. The functional is PBE.

```
data_CaTlB
_symmetry_space_group_name_H-M 'P 1'
_symmetry_Int_Tables_number 1
_cell_length_a 3.959
_cell_length_b 7.031
_cell_length_c 5.580
_cell_angle_alpha 92.55
_cell_angle_beta 69.51
_cell_angle_gamma 106.23
loop_
_symmetry_equiv_pos_as_xyz
'x,y,z'
loop_
_atom_site_label
_atom_site_type_symbol
_atom_site_fract_x
_atom_site_fract_y
_atom_site_fract_z
Tl1 Tl 0.115 0.497 0.724
Tl2 Tl 0.258 0.263 0.204
B1 B 0.552 0.991 0.340
B2 B 0.359 0.833 0.569
Ca1 Ca 0.857 0.037 0.776
Ca2 Ca 0.961 0.720 0.250
```

Results
The symmetry is No. 1. For the uncorrected energy, the calculation gives -3.5777 eV/atom. The calculated density is 6.1 g cm⁻³. The energy of formation from the pure elements is 0.104 eV/atom.



Record 4
This record from Alexandria via LeMat-Bulk describes a relaxed structure of Sc2Te. The functional is PBE.

```
data_Sc2Te
_symmetry_space_group_name_H-M 'P 1'
_symmetry_Int_Tables_number 1
_cell_length_a 3.825
_cell_length_b 6.653
_cell_length_c 6.453
_cell_angle_alpha 90.00
_cell_angle_beta 90.00
_cell_angle_gamma 90.00
loop_
_symmetry_equiv_pos_as_xyz
'x,y,z'
loop_
_atom_site_label
_atom_site_type_symbol
_atom_site_fract_x
_atom_site_fract_y
_atom_site_fract_z
Sc1 Sc 0.000 0.789 0.373
Sc2 Sc 0.500 0.289 0.127
Sc3 Sc 0.500 0.711 0.873
Te1 Te 0.500 0.500 0.500
Te2 Te 0.000 0.000 0.000
Sc4 Sc 0.000 0.211 0.627
```

Results
The symmetry is No. 58. For the uncorrected energy, the calculation gives -5.7115 eV/atom. The calculated density is 4.4 g cm⁻³. The uncorrected formation energy comes out at -0.44 eV/atom.



Record 5
This record from Alexandria via LeMat-Bulk describes a relaxed structure of ScMnCoRh. The functional is PBE.

```
data_ScMnCoRh
_symmetry_space_group_name_H-M 'P 1'
_symmetry_Int_Tables_number 1
_cell_length_a 4.341
_cell_length_b 4.341
_cell_length_c 4.341
_cell_angle_alpha 60.00
_cell_angle_beta 60.00
_cell_angle_gamma 60.00
loop_
_symmetry_equiv_pos_as_xyz
'x,y,z'
loop_
_atom_site_label
_atom_site_type_symbol
_atom_site_fract_x
_atom_site_fract_y
_atom_site_fract_z
Rh1 Rh 0.250 0.250 0.250
Mn1 Mn 0.500 0.500 0.500
Sc1 Sc 0.000 0.000 0.000
Co1 Co 0.750 0.750 0.750
```

Results
The symmetry is No. 216. For the uncorrected energy, the calculation gives -7.8551 eV/atom. The calculated density is 7.5 g cm⁻³. The energy of formation from the pure elements is -0.365 eV/atom.



Record 6
This record from Alexandria via LeMat-Bulk describes a relaxed structure of EuCdInAu. The functional is PBE.

```
data_EuCdInAu
_symmetry_space_group_name_H-M 'P 1'
_symmetry_Int_Tables_number 1
_cell_length_a 5.147
_cell_length_b 5.147
_cell_length_c 5.147
_cell_angle_alpha 60.00
_cell_angle_beta 60.00
_cell_angle_gamma 60.00
loop_
_symmetry_equiv_pos_as_xyz
'x,y,z'
loop_
_atom_site_label
_atom_site_type_symbol
_atom_site_fract_x
_atom_site_fract_y
_atom_site_fract_z
Au1 Au 0.000 0.000 0.000
In1 In 0.750 0.750 0.750
Eu1 Eu 0.250 0.250 0.250
Cd1 Cd 0.500 0.500 0.500
```

Results
The symmetry is No. 216. For the uncorrected energy, the calculation gives -4.7500 eV/atom. The calculated density is 9.9 g cm⁻³. The energy of formation from the pure elements is -0.449 eV/atom.



Among the records above, which one has the lowest calculated density?
Sc2Te